Entry from Alexandria: a relaxed PrScOs4 crystal (GGA-PBE).

Computed properties:
energy relative to the elements: -129 meV/atom
total magnetization: 0.00 μB/f.u.
calculated volume: 18.09 A^3/atom
energy: -0.348 hartree per atom
SG: F-43m (216)

Unit cell a=5.354 b=5.354 c=5.354 alpha=60.00 beta=60.00 gamma=60.00
Atoms (fractional coordinates):
Pr 0.250 0.250 0.250
Sc 0.000 0.000 0.000
Os 0.626 0.626 0.123
Os 0.626 0.123 0.626
Os 0.626 0.626 0.626
Os 0.123 0.626 0.626